Record 1
A geometry-optimized La3OsN5 structure. Source: Alexandria, functional GGA-PBE.

Cell: 6.933 6.933 7.629 Å, 117.02 117.02 90.00°
Fractional positions:
La: 0.250 0.250 0.500
La: 0.750 0.750 0.500
La: 0.324 0.824 0.000
La: 0.676 0.176 0.000
La: 0.824 0.676 0.000
La: 0.176 0.324 0.000
Os: 0.750 0.250 0.500
Os: 0.250 0.750 0.500
N: 0.706 0.206 0.704
N: 0.206 0.997 0.704
N: 0.997 0.497 0.704
N: 0.003 0.503 0.296
N: 0.500 0.500 0.000
N: 0.294 0.794 0.296
N: 0.497 0.706 0.704
N: 0.000 0.000 0.000
N: 0.794 0.003 0.296
N: 0.503 0.294 0.296

The formation energy from raw total energies is -19.735 kcal/mol of atoms. The calculation puts the volume at 281.0 Å³/cell. Its space group is I4/mcm, No. 140.

=====

Record 2
A geometry-optimized EuGaH structure. Source: Alexandria, functional GGA-PBE.

Cell: 3.304 3.304 6.075 Å, 105.78 105.78 90.00°
Last column: magnetic moment on the atom in μB.
Fractional positions:
H: 0.074 0.074 0.148  -0.01
Eu: 0.604 0.604 0.209  6.89
Ga: 0.322 0.322 0.643  0.06

The calculation puts the volume at 61.2 Å³/cell. The calculated total energy is -5.65 eV per atom. Its space group is I4mm, No. 107.

=====

Record 3
A geometry-optimized LaCeSbN structure. Source: Alexandria, functional GGA-PBE.

Cell: 4.742 4.742 9.197 Å, 90.00 90.00 90.00°
Last column: magnetic moment on the atom in μB.
Fractional positions:
La: 0.000 0.000 0.500  0.00
La: 0.500 0.500 0.500  0.00
Ce: 0.500 0.000 0.833  0.66
Ce: 0.000 0.500 0.167  0.66
N: 0.500 0.000 0.600  -0.02
N: 0.000 0.500 0.400  -0.02
Sb: 0.500 0.000 0.197  -0.02
Sb: 0.000 0.500 0.803  -0.02

The formation energy from raw total energies is -29.685 kcal/mol of atoms. The calculation puts the volume at 206.8 Å³/cell. Its space group is P4/nmm, No. 129.

=====

Record 4
A geometry-optimized LaPrAl structure. Source: Alexandria, functional GGA-PBE.

Cell: 4.429 7.157 7.157 Å, 109.14 71.97 71.97°
Fractional positions:
Pr: 0.500 0.362 0.638
Pr: 0.500 0.638 0.362
Al: 0.234 0.266 0.266
Al: 0.766 0.734 0.734
La: 0.000 0.134 0.866
La: 0.000 0.866 0.134

For the formation energy, the calculation gives -0.121 eV/atom. The calculation puts the volume at 181.3 Å³/cell. Its space group is Immm, No. 71.

=====

Record 5
A geometry-optimized KSiAg2Mo structure. Source: Alexandria, functional GGA-PBE.

Cell: 4.880 5.856 4.880 Å, 90.00 90.00 90.00°
Last column: magnetic moment on the atom in μB.
Fractional positions:
K: 0.000 0.500 0.000  0.02
Si: 0.000 0.000 0.000  -0.06
Ag: 0.000 0.000 0.500  0.02
Ag: 0.500 0.000 0.000  0.00
Mo: 0.500 0.500 0.500  3.94

The formation energy from raw total energies is 28.878 kcal/mol of atoms. The calculation puts the volume at 139.5 Å³/cell. Its space group is P4/mmm, No. 123.

=====

Record 6
A geometry-optimized Pr2Nd2Sn3 structure. Source: Alexandria, functional GGA-PBE.

Cell: 5.713 5.339 9.068 Å, 101.09 89.99 122.31°
Last column: magnetic moment on the atom in μB.
Fractional positions:
Sn: 0.770 0.540 0.264  0.00
Sn: 0.230 0.460 0.736  0.00
Sn: 0.000 0.000 0.000  0.00
Pr: 0.863 0.726 0.632  0.04
Pr: 0.137 0.274 0.368  0.04
Nd: 0.616 0.232 0.880  0.15
Nd: 0.384 0.768 0.120  0.15

For the formation energy, the calculation gives -0.574 eV/atom. The calculation puts the volume at 227.6 Å³/cell. Its space group is C2/m, No. 12.

=====

Record 7
A geometry-optimized Nd3Tm3MgS8 structure. Source: Alexandria, functional GGA-PBE.

Cell: 7.796 7.795 7.946 Å, 119.38 90.00 120.00°
Fractional positions:
S: 0.743 0.487 0.730
S: 0.748 0.987 0.727
S: 0.761 0.521 0.273
S: 0.239 0.987 0.727
S: 0.252 0.013 0.273
S: 0.761 0.013 0.273
S: 0.239 0.479 0.727
S: 0.257 0.513 0.270
Nd: 0.500 0.500 0.000
Nd: 0.000 0.000 0.000
Nd: 0.000 0.500 0.000
Tm: 0.000 0.500 0.500
Tm: 0.500 0.000 0.500
Tm: 0.500 0.500 0.500
Mg: 0.000 0.000 0.500

The formation energy from raw total energies is -45.209 kcal/mol of atoms. The calculation puts the volume at 344.6 Å³/cell. Its space group is R-3m, No. 166.

=====

Record 8
A geometry-optimized Pr2EuMg structure. Source: Alexandria, functional GGA-PBE.

Cell: 5.749 5.749 5.749 Å, 60.00 60.00 60.00°
Last column: magnetic moment on the atom in μB.
Fractional positions:
Pr: 0.250 0.250 0.250  0.03
Pr: 0.750 0.750 0.750  0.03
Mg: 0.500 0.500 0.500  -0.01
Eu: 0.000 0.000 0.000  6.86

For the formation energy, the calculation gives 0.031 eV/atom. The calculation puts the volume at 134.4 Å³/cell. Its space group is Fm-3m, No. 225.

=====

Record 9
A geometry-optimized Sr2OsRhN structure. Source: Alexandria, functional GGA-PBE.

Cell: 5.796 4.585 5.796 Å, 90.00 90.00 90.00°
Last column: magnetic moment on the atom in μB.
Fractional positions:
Sr: 0.500 0.000 0.000  -0.02
Sr: 0.000 0.000 0.500  -0.03
N: 0.500 0.500 0.500  1.19
Os: 0.000 0.000 0.000  0.03
Rh: 0.000 0.500 0.000  0.08

The formation energy from raw total energies is 28.369 kcal/mol of atoms. The calculation puts the volume at 154.0 Å³/cell. Its space group is P4/mmm, No. 123.

=====

Record 10
A geometry-optimized ErScTl2 structure. Source: Alexandria, functional GGA-PBE.

Cell: 3.620 3.620 9.664 Å, 79.20 79.20 60.00°
Fractional positions:
Sc: 0.500 0.500 0.500
Er: 0.000 0.000 0.000
Tl: 0.247 0.247 0.259
Tl: 0.753 0.753 0.741

For the formation energy, the calculation gives -0.211 eV/atom. The calculation puts the volume at 107.1 Å³/cell. Its space group is R-3m, No. 166.

=====

Record 11
A geometry-optimized TbEuGaAg structure. Source: Alexandria, functional GGA-PBE.

Cell: 5.228 5.228 5.228 Å, 60.00 60.00 60.00°
Last column: magnetic moment on the atom in μB.
Fractional positions:
Ga: 0.750 0.750 0.750  -0.03
Ag: 0.250 0.250 0.250  0.00
Tb: 0.500 0.500 0.500  -0.03
Eu: 0.000 0.000 0.000  6.77

For the formation energy, the calculation gives -0.386 eV/atom. The calculation puts the volume at 101.0 Å³/cell. Its space group is F-43m, No. 216.

=====

Record 12
A geometry-optimized Mg2TeP structure. Source: Alexandria, functional GGA-PBE.

Cell: 3.864 4.065 6.058 Å, 73.94 90.00 90.00°
Fractional positions:
Te: 0.500 0.750 0.750
Mg: 0.000 0.418 0.479
Mg: 0.000 0.082 0.021
P: 0.500 0.250 0.250

The formation energy from raw total energies is -6.909 kcal/mol of atoms. The calculation puts the volume at 91.4 Å³/cell. Its space group is P2/m, No. 10.

=====

| no. | ρ (g/cm3) |
| --- | --- |
| 1 | 8.00 |
| 2 | 6.04 |
| 3 | 6.66 |
| 4 | 5.62 |
| 5 | 4.51 |
| 6 | 6.76 |
| 7 | 5.88 |
| 8 | 5.66 |
| 9 | 5.20 |
| 10 | 9.63 |
| 11 | 8.03 |
| 12 | 3.76 |